80
Lattice="13.275 0.000 0.000 -4.425 12.516 0.000 -4.425 -6.258 10.839" Properties=species:S:1:pos:R:3 comment="K3Sr5H12 GGA-PBE relaxed" dft_energy_ev_per_atom=-2.870 density_g_cm3=2.1 spacegroup="Ia-3d, No. 230" pbc="T T T"
Sr -1.106 3.129 2.710
K 7.744 3.911 1.355
H 0.585 7.959 7.312
K -1.106 5.476 6.775
H 1.541 -1.601 9.828
H 7.784 -4.490 9.537
H -2.798 7.182 8.657
H 5.967 6.182 1.892
H 6.828 11.180 0.291
Sr 4.425 -3.129 5.420
H 3.840 -1.701 3.528
Sr 3.319 2.347 1.355
H 0.190 4.049 4.408
H 2.402 -2.209 6.431
H -2.402 -4.922 10.549
H 6.828 3.545 4.117
K 1.106 6.258 2.710
Sr -2.213 6.258 0.000
H -4.615 8.971 4.117
K 3.319 7.040 6.775
Sr 5.531 5.476 4.065
H -5.492 3.373 7.602
H -0.671 7.934 0.880
H 2.884 7.859 1.012
Sr -4.425 3.129 5.420
H -5.096 -0.076 8.947
H -3.840 5.481 5.710
K 3.319 0.000 8.130
H 7.223 -0.924 2.183
H 1.627 4.557 7.312
Sr -2.213 -3.129 5.420
K 5.531 0.782 4.065
H -3.359 10.748 1.302
H 5.571 1.768 1.302
H 8.265 0.777 5.129
Sr 4.425 6.258 0.000
Sr 3.319 9.387 2.710
H 9.917 2.885 3.237
H -0.585 0.924 2.183
Sr 6.638 0.000 0.000
H -1.146 4.490 9.537
H 1.146 1.117 6.300
Sr -1.106 0.782 6.775
Sr 7.744 -0.782 6.775
H 5.010 5.334 8.657
H -4.235 4.922 10.549
H 6.052 7.035 5.710
H 5.096 -1.676 9.959
H 5.571 9.631 3.237
H 2.023 8.467 4.408
K 9.957 0.000 2.710
K -3.319 2.347 9.484
Sr 1.106 -3.129 8.130
H 3.279 5.141 4.539
K 7.744 8.605 1.355
Sr 5.531 3.129 8.130
H -1.627 -0.777 5.129
H -0.671 4.658 1.012
Sr -1.106 10.169 1.355
H -1.541 0.076 8.947
H 9.521 6.334 1.892
K 1.106 -0.782 4.065
H 5.096 1.601 9.828
Sr 1.106 3.911 9.484
Sr 2.213 3.129 5.420
K -5.531 6.258 8.130
H 4.235 2.209 6.431
H 2.798 1.701 3.528
H 5.492 -1.117 6.300
H 2.884 4.582 0.880
Sr 5.531 -3.911 9.484
H 9.040 -2.713 6.722
H 1.541 1.676 9.959
H 8.660 1.336 0.291
Sr 0.000 0.000 0.000
H -1.067 7.375 4.539
H -1.146 -3.373 7.602
H -2.402 2.713 6.722
K -3.319 -2.347 9.484
Sr -3.319 7.040 4.065